CrRe2BAs: optimized geometry, PBE-GGA.

Properties
- Formation enthalpy at 0 K: 2181 meV/atom
- Space-group type: No. 123
- Total moment: 0.0 μB per cell

```
data_CrRe2BAs
_chemical_formula_sum 'Cr1 Re2 B1 As1'
_space_group_name_H-M_alt 'P 1'
_space_group_IT_number 1
_cell_length_a 4.498
_cell_length_b 4.308
_cell_length_c 4.498
_cell_angle_alpha 90.00
_cell_angle_beta 90.00
_cell_angle_gamma 90.00
loop_
_space_group_symop_operation_xyz
'x,y,z'
loop_
_atom_site_label
_atom_site_type_symbol
_atom_site_fract_x
_atom_site_fract_y
_atom_site_fract_z
Re1 Re 0.000 0.000 0.500
Re2 Re 0.500 0.000 0.000
B1 B 0.500 0.500 0.500
Cr1 Cr 0.000 0.000 0.000
As1 As 0.000 0.500 0.000
```

***

Nd4SmPd2: optimized geometry, PBE-GGA.

Properties
- Formation enthalpy at 0 K: -295 meV/atom
- Space-group type: No. 11
- Total moment: 0.0 μB per cell
- E above lowest polymorph: 0.00 eV/f.u.

```
data_Nd4SmPd2
_chemical_formula_sum 'Nd8 Sm2 Pd4'
_space_group_name_H-M_alt 'P 1'
_space_group_IT_number 1
_cell_length_a 6.610
_cell_length_b 8.132
_cell_length_c 8.139
_cell_angle_alpha 110.46
_cell_angle_beta 90.00
_cell_angle_gamma 90.00
loop_
_space_group_symop_operation_xyz
'x,y,z'
loop_
_atom_site_label
_atom_site_type_symbol
_atom_site_fract_x
_atom_site_fract_y
_atom_site_fract_z
Pd1 Pd 0.250 0.360 0.139
Nd1 Nd 0.000 0.702 0.202
Pd2 Pd 0.750 0.066 0.433
Nd2 Nd 0.500 0.702 0.202
Pd3 Pd 0.250 0.934 0.567
Nd3 Nd 0.500 0.298 0.798
Nd4 Nd 0.750 0.425 0.451
Nd5 Nd 0.250 0.949 0.925
Nd6 Nd 0.750 0.051 0.075
Nd7 Nd 0.250 0.575 0.549
Sm1 Sm 0.750 0.858 0.642
Nd8 Nd 0.000 0.298 0.798
Pd4 Pd 0.750 0.640 0.861
Sm2 Sm 0.250 0.142 0.358
```

***

AcSmIn4: optimized geometry, PBE-GGA.

Properties
- Formation enthalpy at 0 K: -392 meV/atom
- Space-group type: No. 216
- Total moment: 0.0 μB per cell
- E above lowest polymorph: 0.31 eV/f.u.

```
data_AcSmIn4
_chemical_formula_sum 'Ac1 Sm1 In4'
_space_group_name_H-M_alt 'P 1'
_space_group_IT_number 1
_cell_length_a 6.192
_cell_length_b 6.192
_cell_length_c 6.192
_cell_angle_alpha 60.00
_cell_angle_beta 60.00
_cell_angle_gamma 60.00
loop_
_space_group_symop_operation_xyz
'x,y,z'
loop_
_atom_site_label
_atom_site_type_symbol
_atom_site_fract_x
_atom_site_fract_y
_atom_site_fract_z
In1 In 0.625 0.625 0.625
Ac1 Ac 0.250 0.250 0.250
In2 In 0.625 0.625 0.124
In3 In 0.625 0.124 0.625
Sm1 Sm 0.000 0.000 0.000
In4 In 0.124 0.625 0.625
```

***

Sc3MoP: optimized geometry, PBE-GGA.

Properties
- Formation enthalpy at 0 K: 500 meV/atom
- Space-group type: No. 221
- Total moment: 0.0 μB per cell
- E above lowest polymorph: 2.04 eV/f.u.

```
data_Sc3MoP
_chemical_formula_sum 'Sc3 Mo1 P1'
_space_group_name_H-M_alt 'P 1'
_space_group_IT_number 1
_cell_length_a 4.943
_cell_length_b 4.943
_cell_length_c 4.943
_cell_angle_alpha 90.00
_cell_angle_beta 90.00
_cell_angle_gamma 90.00
loop_
_space_group_symop_operation_xyz
'x,y,z'
loop_
_atom_site_label
_atom_site_type_symbol
_atom_site_fract_x
_atom_site_fract_y
_atom_site_fract_z
Sc1 Sc 0.000 0.000 0.500
P1 P 0.500 0.500 0.500
Mo1 Mo 0.000 0.000 0.000
Sc2 Sc 0.000 0.500 0.000
Sc3 Sc 0.500 0.000 0.000
```

***

BaTl2PbF6: optimized geometry, PBE-GGA.

Properties
- Raw formation energy: -2.534 eV per atom
- Space-group type: No. 14
- Total moment: 0.0 μB per cell

```
data_BaTl2PbF6
_chemical_formula_sum 'Ba2 Tl4 Pb2 F12'
_space_group_name_H-M_alt 'P 1'
_space_group_IT_number 1
_cell_length_a 6.666
_cell_length_b 6.983
_cell_length_c 9.658
_cell_angle_alpha 90.00
_cell_angle_beta 89.96
_cell_angle_gamma 90.00
loop_
_space_group_symop_operation_xyz
'x,y,z'
loop_
_atom_site_label
_atom_site_type_symbol
_atom_site_fract_x
_atom_site_fract_y
_atom_site_fract_z
Ba1 Ba 0.500 0.000 0.000
Tl1 Tl 0.989 0.038 0.748
F1 F 0.120 0.454 0.757
F2 F 0.176 0.197 0.062
F3 F 0.676 0.303 0.562
F4 F 0.380 0.954 0.743
Pb1 Pb 0.000 0.500 0.000
F5 F 0.311 0.682 0.057
F6 F 0.189 0.182 0.443
Ba2 Ba 0.000 0.500 0.500
F7 F 0.689 0.318 0.943
Tl2 Tl 0.011 0.962 0.252
F8 F 0.811 0.818 0.557
Tl3 Tl 0.511 0.538 0.752
Tl4 Tl 0.489 0.462 0.248
F9 F 0.880 0.546 0.243
F10 F 0.324 0.697 0.438
F11 F 0.824 0.803 0.938
Pb2 Pb 0.500 0.000 0.500
F12 F 0.620 0.046 0.257
```

***

Cs5RuO6: optimized geometry, PBE-GGA.

Properties
- Raw formation energy: -1.153 eV per atom
- Space-group type: No. 12
- Total moment: 1.0 μB per cell

```
data_Cs5RuO6
_chemical_formula_sum 'Cs5 Ru1 O6'
_space_group_name_H-M_alt 'P 1'
_space_group_IT_number 1
_cell_length_a 6.756
_cell_length_b 6.991
_cell_length_c 7.060
_cell_angle_alpha 60.32
_cell_angle_beta 80.35
_cell_angle_gamma 70.21
loop_
_space_group_symop_operation_xyz
'x,y,z'
loop_
_atom_site_label
_atom_site_type_symbol
_atom_site_fract_x
_atom_site_fract_y
_atom_site_fract_z
Ru1 Ru 0.000 0.000 0.000
O1 O 0.823 0.284 0.777
O2 O 0.823 0.060 0.223
Cs1 Cs 0.000 0.668 0.664
Cs2 Cs 0.000 0.332 0.336
O3 O 0.820 0.830 0.000
Cs3 Cs 0.500 0.842 0.315
O4 O 0.177 0.716 0.223
Cs4 Cs 0.500 0.158 0.685
Cs5 Cs 0.500 0.500 0.000
O5 O 0.180 0.170 0.000
O6 O 0.177 0.940 0.777
```

***

Q: Which value of total moment does entry 3 give?
A: 0.0 μB per cell

***

Repeat the first record exactly.
CrRe2BAs: optimized geometry, PBE-GGA.

Properties
- Formation enthalpy at 0 K: 2181 meV/atom
- Space-group type: No. 123
- Total moment: 0.0 μB per cell

```
data_CrRe2BAs
_chemical_formula_sum 'Cr1 Re2 B1 As1'
_space_group_name_H-M_alt 'P 1'
_space_group_IT_number 1
_cell_length_a 4.498
_cell_length_b 4.308
_cell_length_c 4.498
_cell_angle_alpha 90.00
_cell_angle_beta 90.00
_cell_angle_gamma 90.00
loop_
_space_group_symop_operation_xyz
'x,y,z'
loop_
_atom_site_label
_atom_site_type_symbol
_atom_site_fract_x
_atom_site_fract_y
_atom_site_fract_z
Re1 Re 0.000 0.000 0.500
Re2 Re 0.500 0.000 0.000
B1 B 0.500 0.500 0.500
Cr1 Cr 0.000 0.000 0.000
As1 As 0.000 0.500 0.000
```